[1]
Computed, not measured: an optimized crystal structure of AsPdI2 at the PBE-GGA level of DFT.

Cell: 5.8015 5.8015 15.4525 Å, 90.00 90.00 90.00°
With the nearest neighbours (Å) after each atom.
Positions (direct):
As 0.0000 0.0000 0.0000  4 I 2.87
As 0.0000 0.5000 0.2500  4 I 2.87
As 0.5000 0.0000 0.7500  4 I 2.87
As 0.5000 0.5000 0.5000  4 I 2.87
Pd 0.0000 0.0000 0.5000  4 I 2.77
Pd 0.0000 0.5000 0.7500  4 I 2.77
Pd 0.5000 0.0000 0.2500  4 I 2.77
Pd 0.5000 0.5000 0.0000  4 I 2.77
I 0.2338 0.2500 0.6250  2 Pd 2.77, 2 As 2.87
I 0.2500 0.7338 0.8750  2 Pd 2.77, 2 As 2.87
I 0.2500 0.7662 0.3750  2 Pd 2.77, 2 As 2.87
I 0.2662 0.2500 0.1250  2 Pd 2.77, 2 As 2.87
I 0.7338 0.7500 0.1250  2 Pd 2.77, 2 As 2.87
I 0.7500 0.2338 0.3750  2 Pd 2.77, 2 As 2.87
I 0.7500 0.2662 0.8750  2 Pd 2.77, 2 As 2.87
I 0.7662 0.7500 0.6250  2 Pd 2.77, 2 As 2.87

Summary:
* formation energy from raw total energies: 377 meV per atom
* total magnetization: 0.00 μB/f.u.
* E: -2.8587 eV/atom
* crystal system: tetragonal
* polymorph energy (0 for the lowest one): 0.0 meV per atom

[2]
Computed, not measured: an optimized crystal structure of AsPdI2 at the PBE-GGA level of DFT.

Cell: 7.3040 7.3040 7.3040 Å, 90.00 90.00 90.00°
With the nearest neighbours (Å) after each atom.
Positions (direct):
As 0.0000 0.0000 0.0000  8 I 3.16
As 0.0000 0.5000 0.5000  8 I 3.16
As 0.5000 0.0000 0.5000  8 I 3.16
As 0.5000 0.5000 0.0000  8 I 3.16
Pd 0.0000 0.0000 0.5000  8 I 3.16
Pd 0.0000 0.5000 0.0000  8 I 3.16
Pd 0.5000 0.0000 0.0000  8 I 3.16
Pd 0.5000 0.5000 0.5000  8 I 3.16
I 0.2500 0.2500 0.2500  4 As 3.16, 4 Pd 3.16
I 0.2500 0.2500 0.7500  4 As 3.16, 4 Pd 3.16
I 0.2500 0.7500 0.2500  4 As 3.16, 4 Pd 3.16
I 0.2500 0.7500 0.7500  4 As 3.16, 4 Pd 3.16
I 0.7500 0.2500 0.2500  4 As 3.16, 4 Pd 3.16
I 0.7500 0.2500 0.7500  4 As 3.16, 4 Pd 3.16
I 0.7500 0.7500 0.2500  4 As 3.16, 4 Pd 3.16
I 0.7500 0.7500 0.7500  4 As 3.16, 4 Pd 3.16

Summary:
* formation energy from raw total energies: 545 meV per atom
* total magnetization: 0.00 μB/f.u.
* E: -2.6907 eV/atom
* crystal system: cubic
* polymorph energy (0 for the lowest one): 168.0 meV per atom

[3]
Computed, not measured: an optimized crystal structure of AsPd3I at the PBE-GGA level of DFT.

Cell: 4.9853 4.9853 4.9853 Å, 90.00 90.00 90.00°
With the nearest neighbours (Å) after each atom.
Positions (direct):
As 0.0000 0.0000 0.0000  12 Pd 3.53
Pd 0.0000 0.5000 0.5000  2 I 2.49
Pd 0.5000 0.0000 0.5000  2 I 2.49
Pd 0.5000 0.5000 0.0000  2 I 2.49
I 0.5000 0.5000 0.5000  6 Pd 2.49

Summary:
* formation energy from raw total energies: 812 meV per atom
* total magnetization: 0.00 μB/f.u.
* E: -3.5438 eV/atom
* crystal system: cubic
* polymorph energy (0 for the lowest one): 640.4 meV per atom